Record 1
First-principles (PBE) data for CuNi2Ge2 after structural relaxation, as listed in Alexandria.

Cell: 3.885 5.058 6.778 Å, 90.00 90.00 90.00°
Sites, in units of the cell vectors:
Ge1 0.500 0.250 0.812
Ge2 0.000 0.250 0.379
Ni1 0.500 0.750 0.830
Ni2 0.500 0.500 0.500
Cu1 0.000 0.500 0.000
Ni3 0.500 0.250 0.170
Ge3 0.000 0.750 0.621
Ni4 0.500 0.000 0.500
Cu2 0.000 0.000 0.000
Ge4 0.500 0.750 0.188

energy relative to the lowest polymorph listed for this composition: 0.0 meV/atom
total moment: 0.00 μB per formula unit
theoretical density: 8.13 Mg/m³
formation energy: -1.08 eV/f.u.



Record 2
First-principles (PBE) data for VPd2W after structural relaxation, as listed in Alexandria.

Cell: 7.022 7.022 5.611 Å, 51.26 51.26 90.00°
Sites, in units of the cell vectors:
V1 0.500 0.500 0.000
W1 0.750 0.250 0.500
Pd1 0.875 0.862 0.750
Pd2 0.375 0.388 0.750
W2 0.000 0.000 0.000
V2 0.250 0.750 0.500
Pd3 0.138 0.625 0.250
Pd4 0.612 0.125 0.250

energy relative to the lowest polymorph listed for this composition: 241.7 meV/atom
total moment: 0.02 μB per formula unit
theoretical density: 11.54 Mg/m³
formation energy: 2.12 eV/f.u.



Record 3
First-principles (PBE) data for Ca2CdSe after structural relaxation, as listed in Alexandria.

Cell: 4.033 4.033 8.785 Å, 76.75 76.75 59.95°
Sites, in units of the cell vectors:
Ca1 0.987 0.987 0.040
Se1 0.250 0.250 0.250
Cd1 0.750 0.750 0.750
Ca2 0.513 0.513 0.460

energy relative to the lowest polymorph listed for this composition: 0.0 meV/atom
total moment: 0.00 μB per formula unit
theoretical density: 3.78 Mg/m³
ΔE_f (raw): -4.036 eV per formula unit



Record 4
First-principles (PBE) data for Ce3Ga8Au3 after structural relaxation, as listed in Alexandria.

Cell: 4.555 8.419 8.381 Å, 68.29 74.23 74.31°
Sites, in units of the cell vectors:
Ga1 0.657 0.975 0.711
Ga2 0.343 0.025 0.289
Au1 0.350 0.291 0.009
Au2 0.650 0.709 0.991
Ga3 0.852 0.869 0.426
Ga4 0.852 0.432 0.864
Ga5 0.148 0.568 0.136
Ga6 0.148 0.131 0.574
Au3 0.000 0.500 0.500
Ga7 0.504 0.312 0.680
Ce1 0.000 0.000 0.000
Ga8 0.496 0.688 0.320
Ce2 0.700 0.303 0.296
Ce3 0.300 0.697 0.704

energy relative to the lowest polymorph listed for this composition: 0.0 meV/atom
total moment: 2.16 μB per formula unit
theoretical density: 9.24 Mg/m³
formation energy: -7.54 eV/f.u.